No. 1
Computed, not measured: a geometry-optimized Ac2MgPd9 structure at the PBE-GGA level of DFT.

DOS(E_F) in states/eV per cell: 32.6
Formation energy in meV per atom: -512

Cell lengths 5.4522, 5.4522, 27.6079 Å; angles 90.00, 90.00, 120.00 degrees
Last column: nearest neighbours and their distance in Å.
Space group R-3m (No. 166, hexagonal axes)
Asymmetric unit:
Ac (0.0000, 0.0000, 0.1344) [6 per cell]  9 Pd 3.08-3.27
Mg (0.0000, 0.0000, 0.0000) [3 per cell]  6 Pd 3.15
Pd (0.0000, 0.0000, 0.3330) [6 per cell]  6 Pd 2.75-2.78
Pd (0.0000, 0.0000, 0.5000) [3 per cell]  6 Pd 2.81
Pd (0.0016, 0.5008, 0.9176) [18 per cell]  7 Pd 2.71-2.81

No. 2
Computed, not measured: a geometry-optimized NaAc4In2 structure at the PBE-GGA level of DFT.

DOS(E_F) in states/eV per cell: 22.2
Formation energy in meV per atom: -159

Cell lengths 5.8044, 5.8044, 27.4040 Å; angles 90.00, 90.00, 120.00 degrees
Last column: nearest neighbours and their distance in Å.
Space group R-3m (No. 166, hexagonal axes)
Asymmetric unit:
Na (0.0000, 0.0000, 0.0000) [3 per cell]  8 Ac 3.65-3.67, 6 In 3.93
Ac (0.0000, 0.0000, 0.1330) [6 per cell]  4 In 3.44-3.71, 1 Na 3.65, 3 Ac 3.83
Ac (0.0000, 0.0000, 0.3877) [6 per cell]  4 In 3.40-3.54, 3 Na 3.67
In (0.0000, 0.0000, 0.2584) [6 per cell]  8 Ac 3.40-3.71

No. 3
Computed, not measured: a geometry-optimized Li2Tm4Os structure at the PBE-GGA level of DFT.

DOS(E_F) in states/eV per cell: 15.0
Formation energy in meV per atom: 29

Cell lengths 4.9100, 4.9100, 24.1165 Å; angles 90.00, 90.00, 120.00 degrees
Last column: nearest neighbours and their distance in Å.
Space group R-3m (No. 166, hexagonal axes)
Asymmetric unit:
Li (0.0000, 0.0000, 0.2436) [6 per cell]  7 Tm 2.80-3.02
Tm (0.0000, 0.0000, 0.1275) [6 per cell]  4 Li 2.80-2.98, 3 Os 2.99
Tm (0.0000, 0.0000, 0.3796) [6 per cell]  1 Os 2.90, 3 Li 3.02
Os (0.0000, 0.0000, 0.5000) [3 per cell]  8 Tm 2.90-2.99

No. 4
Computed, not measured: a geometry-optimized Nd3InCo structure at the PBE-GGA level of DFT.

Relative energy among the computed polymorphs in meV per atom: 41
DOS(E_F) in states/eV per cell: 5.2
Formation energy in meV per atom: -149

Cell lengths 5.2795, 5.2795, 5.2795 Å; angles 90.00, 90.00, 90.00 degrees
Last column: nearest neighbours and their distance in Å.
Space group Pm-3m (No. 221)
Asymmetric unit:
Nd (0.0000, 0.0000, 0.5000) [3 per cell]  2 Co 2.64
In (0.5000, 0.5000, 0.5000) [1 per cell]  12 Nd 3.73
Co (0.0000, 0.0000, 0.0000) [1 per cell]  6 Nd 2.64

No. 5
Computed, not measured: a geometry-optimized B2C structure at the PBE-GGA level of DFT.

Relative energy among the computed polymorphs in meV per atom: 215
DOS(E_F) in states/eV per cell: 3.5
Formation energy in meV per atom: 400

Cell lengths 11.6978, 2.7185, 5.7109 Å; angles 90.00, 108.27, 90.00 degrees
Last column: nearest neighbours and their distance in Å.
Space group Cm (No. 8)
Asymmetric unit:
B (0.0000, 0.0000, 0.0000) [2 per cell]  1 C 1.50, 2 B 1.68
B (0.0159, 0.0000, 0.5953) [2 per cell]  1 C 1.53
B (0.0507, 0.5000, 0.1745) [2 per cell]  1 C 1.60, 3 B 1.68-1.71
B (0.0737, 0.5000, 0.4849) [2 per cell]  4 B 1.71-1.81, 1 C 1.72
B (0.1951, 0.5000, 0.7735) [2 per cell]  2 C 1.55
B (0.3229, 0.0000, 0.1653) [2 per cell]  2 C 1.59-1.62
B (0.3461, 0.0000, 0.6719) [2 per cell]  3 C 1.61-1.67
B (0.4706, 0.5000, 0.2746) [2 per cell]  4 B 1.71-1.84
C (0.1871, 0.5000, 0.3526) [2 per cell]  2 C 1.58, 2 B 1.60-1.72
C (0.2517, 0.0000, 0.8789) [2 per cell]  3 B 1.55-1.59
C (0.2581, 0.0000, 0.3781) [2 per cell]  2 C 1.58, 2 B 1.62-1.67
C (0.4233, 0.5000, 0.7336) [2 per cell]  4 B 1.50-1.61

No. 6
Computed, not measured: a geometry-optimized BiMoPdSe2 structure at the PBE-GGA level of DFT.

DOS(E_F) in states/eV per cell: 6.8
Uncorrected formation energy in eV/atom: 1.47

Cell lengths 5.4914, 5.4914, 5.4226 Å; angles 90.00, 90.00, 90.00 degrees
Last column: nearest neighbours and their distance in Å.
Space group P4/mmm (No. 123)
Asymmetric unit:
Bi (0.0000, 0.0000, 0.0000) [1 per cell]  2 Mo 2.71, 4 Se 2.75
Mo (0.0000, 0.0000, 0.5000) [1 per cell]  2 Bi 2.71
Pd (0.5000, 0.5000, 0.5000) [1 per cell]  8 Se 3.86, 4 Mo 3.88
Se (0.0000, 0.5000, 0.0000) [2 per cell]  2 Bi 2.75

No. 7
Computed, not measured: a geometry-optimized TaAl2Pt structure at the PBE-GGA level of DFT.

DOS(E_F) in states/eV per cell: 2.3
Formation energy in meV per atom: -503

Cell lengths 2.8972, 3.7731, 5.7846 Å; angles 90.00, 90.00, 90.00 degrees
Last column: nearest neighbours and their distance in Å.
Space group Pmm2 (No. 25)
Asymmetric unit:
Ta (0.0000, 0.0000, 0.0000) [1 per cell]  6 Al 2.78-2.92, 4 Pt 2.90, 2 Ta 2.90
Al (0.0000, 0.0000, 0.4944) [1 per cell]  4 Pt 2.70, 6 Al 2.77-2.90, 2 Ta 2.86-2.92
Al (0.5000, 0.5000, 0.2488) [1 per cell]  1 Pt 2.70, 6 Al 2.77-2.90, 4 Ta 2.78
Pt (0.5000, 0.5000, 0.7147) [1 per cell]  5 Al 2.70, 4 Ta 2.90, 2 Pt 2.90

No. 8
Computed, not measured: a geometry-optimized LaTb2Zr structure at the PBE-GGA level of DFT.

Relative energy among the computed polymorphs in meV per atom: 158
DOS(E_F) in states/eV per cell: 33.5
Formation energy in meV per atom: 235

Cell lengths 7.8693, 7.8693, 7.8693 Å; angles 90.00, 90.00, 90.00 degrees
Last column: nearest neighbours and their distance in Å.
Space group Fm-3m (No. 225)
Asymmetric unit:
La (0.0000, 0.0000, 0.0000) [4 per cell]  8 Tb 3.41
Tb (0.2500, 0.2500, 0.2500) [8 per cell]  4 La 3.41, 4 Zr 3.41
Zr (0.0000, 0.0000, 0.5000) [4 per cell]  8 Tb 3.41

No. 9
Computed, not measured: a geometry-optimized Rb3BeCl5 structure at the PBE-GGA level of DFT.

DOS(E_F) in states/eV per cell: 0.0
Uncorrected formation energy in eV/atom: -1.83

Cell lengths 9.0043, 9.0043, 13.5297 Å; angles 90.00, 90.00, 90.00 degrees
Last column: nearest neighbours and their distance in Å.
Space group I4/mcm (No. 140)
Asymmetric unit:
Rb (0.0000, 0.0000, 0.2500) [4 per cell]  10 Cl 3.38-3.73
Rb (0.1691, 0.3309, 0.0000) [8 per cell]  8 Cl 3.35-3.48
Be (0.0000, 0.5000, 0.2500) [4 per cell]  4 Cl 2.04
Cl (0.0000, 0.0000, 0.0000) [4 per cell]  6 Rb 3.35-3.38
Cl (0.1297, 0.3703, 0.3385) [16 per cell]  1 Be 2.04

No. 10
Computed, not measured: a geometry-optimized Bi2Pd3Pt3 structure at the PBE-GGA level of DFT.

DOS(E_F) in states/eV per cell: 10.2
Formation energy in meV per atom: -68

Cell lengths 6.7926, 6.7926, 11.2174 Å; angles 90.00, 90.00, 120.00 degrees
Last column: nearest neighbours and their distance in Å.
Space group R32 (No. 155, hexagonal axes)
Asymmetric unit:
Bi (0.0000, 0.0000, 0.2442) [6 per cell]  3 Pt 2.80, 3 Pd 2.81
Pd (0.0000, 0.7577, 0.0000) [9 per cell]  2 Pt 2.71, 2 Bi 2.81, 2 Pd 2.85
Pt (0.0000, 0.2356, 0.5000) [9 per cell]  2 Pd 2.71, 2 Pt 2.77, 2 Bi 2.80

No. 11
Computed, not measured: a geometry-optimized BaCaP structure at the PBE-GGA level of DFT.

DOS(E_F) in states/eV per cell: 7.8
Formation energy in meV per atom: -759

Cell lengths 7.3486, 7.3486, 7.3486 Å; angles 90.00, 90.00, 90.00 degrees
Last column: nearest neighbours and their distance in Å.
Space group F-43m (No. 216)
Asymmetric unit:
Ba (0.0000, 0.0000, 0.0000) [4 per cell]  4 P 3.18
Ca (0.0000, 0.0000, 0.5000) [4 per cell]  4 P 3.18
P (0.2500, 0.2500, 0.7500) [4 per cell]  4 Ba 3.18, 4 Ca 3.18

No. 12
Computed, not measured: a geometry-optimized YSiCl2 structure at the PBE-GGA level of DFT.

Relative energy among the computed polymorphs in meV per atom: 149
DOS(E_F) in states/eV per cell: 4.9
Uncorrected formation energy in eV/atom: -0.90

Cell lengths 3.4298, 5.2082, 14.0406 Å; angles 90.00, 90.00, 90.00 degrees
Last column: nearest neighbours and their distance in Å.
Space group Immm (No. 71)
Asymmetric unit:
Y (0.0000, 0.0000, 0.0000) [2 per cell]  4 Cl 2.71
Si (0.0000, 0.0000, 0.5000) [2 per cell]  4 Y 3.12, 4 Cl 3.34, 2 Si 3.43
Cl (0.0000, 0.5000, 0.3509) [4 per cell]  2 Y 2.71